Record 1
{
  "formula": "CrFeP",
  "functional": "PBEsol",
  "state": "relaxed",
  "total_magnetization_mub_per_cell": 3.507,
  "crystal_system": "orthorhombic",
  "e_form_mev_per_atom": -653,
  "lattice": [[3.495, 0.000, 0.000], [0.000, 5.664, 0.000], [0.000, 0.000, 6.467]],
  "species": ["Cr", "Cr", "Cr", "Cr", "Fe", "Fe", "Fe", "Fe", "P", "P", "P", "P"],
  "frac_coords": [[0.250, 0.024, 0.171], [0.750, 0.976, 0.829], [0.250, 0.524, 0.329], [0.750, 0.476, 0.671], [0.750, 0.356, 0.062], [0.250, 0.644, 0.938], [0.750, 0.856, 0.438], [0.250, 0.144, 0.562], [0.750, 0.736, 0.123], [0.250, 0.264, 0.877], [0.750, 0.236, 0.377], [0.250, 0.764, 0.623]]
}

---

Record 2
{
  "formula": "FeSbOsI2",
  "functional": "PBEsol",
  "state": "relaxed",
  "total_magnetization_mub_per_cell": 3.791,
  "crystal_system": "tetragonal",
  "formation_energy_uncorrected_ev_per_atom": 1.29,
  "lattice": [[4.959, 0.000, 0.000], [0.000, 5.429, 0.000], [0.000, 0.000, 5.429]],
  "species": ["I", "I", "Sb", "Os", "Fe"],
  "frac_coords": [[0.000, 0.000, 0.500], [0.000, 0.500, 0.000], [0.500, 0.000, 0.000], [0.000, 0.000, 0.000], [0.500, 0.500, 0.500]]
}

---

Record 3
{
  "formula": "RhPbN2",
  "functional": "PBEsol",
  "state": "relaxed",
  "total_magnetization_mub_per_cell": 0.001,
  "crystal_system": "trigonal",
  "formation_energy_uncorrected_ev_per_atom": 0.61,
  "lattice": [[-2.293, -2.173, -0.192], [-0.950, -1.052, -2.830], [3.325, -5.748, -0.749]],
  "species": ["Pb", "Rh", "N", "N"],
  "frac_coords": [[0.000, 0.000, 0.000], [0.500, 0.500, 0.500], [0.880, 0.880, 0.359], [0.120, 0.120, 0.641]]
}

---

Record 4
{
  "formula": "Ca2AlIn",
  "functional": "PBEsol",
  "state": "relaxed",
  "total_magnetization_mub_per_cell": 0.000,
  "crystal_system": "tetragonal",
  "e_form_mev_per_atom": -196,
  "lattice": [[-2.483, -1.504, -3.685], [1.813, -4.294, 0.531], [-3.265, 1.738, 4.476]],
  "species": ["Ca", "Ca", "Al", "In"],
  "frac_coords": [[0.000, 0.000, 0.000], [0.750, 0.250, 0.500], [0.250, 0.750, 0.500], [0.500, 0.500, 0.000]]
}

---

Record 5
{
  "formula": "BaOsBr2",
  "functional": "PBEsol",
  "state": "relaxed",
  "total_magnetization_mub_per_cell": 4.009,
  "crystal_system": "cubic",
  "formation_energy_uncorrected_ev_per_atom": 0.57,
  "lattice": [[5.392, 0.000, 0.000], [2.696, 4.669, 0.000], [2.696, 1.556, 4.402]],
  "species": ["Os", "Ba", "Br", "Br"],
  "frac_coords": [[0.250, 0.250, 0.250], [0.500, 0.500, 0.500], [0.000, 0.000, 0.000], [0.750, 0.750, 0.750]]
}

---

Record 6
{
  "formula": "Sc2InW",
  "functional": "PBEsol",
  "state": "relaxed",
  "total_magnetization_mub_per_cell": 0.959,
  "crystal_system": "cubic",
  "e_form_mev_per_atom": 202,
  "lattice": [[-3.999, -0.037, -2.587], [-0.206, -2.532, -4.029], [-2.669, -3.940, -0.203]],
  "species": ["In", "Sc", "Sc", "W"],
  "frac_coords": [[0.500, 0.500, 0.500], [0.000, 0.000, 0.000], [0.750, 0.750, 0.750], [0.250, 0.250, 0.250]]
}

---

Record 7
{
  "formula": "HfBeTl2C",
  "functional": "PBEsol",
  "state": "relaxed",
  "total_magnetization_mub_per_cell": 0.512,
  "crystal_system": "tetragonal",
  "e_form_mev_per_atom": 2374,
  "lattice": [[-0.251, -4.549, -1.211], [5.068, -0.840, 2.102], [-2.244, -1.190, 4.935]],
  "species": ["Be", "Tl", "Tl", "Hf", "C"],
  "frac_coords": [[0.500, 0.000, 0.000], [0.000, 0.000, 0.500], [0.000, 0.500, 0.000], [0.000, 0.000, 0.000], [0.500, 0.500, 0.500]]
}

---

Record 8
{
  "formula": "SrLa2As2",
  "functional": "PBEsol",
  "state": "relaxed",
  "total_magnetization_mub_per_cell": 0.000,
  "crystal_system": "tetragonal",
  "e_form_mev_per_atom": -860,
  "lattice": [[-1.675, -5.269, -0.646], [0.165, -0.729, 5.516], [-4.634, 4.665, -2.054]],
  "species": ["Sr", "As", "As", "La", "La"],
  "frac_coords": [[0.000, 0.000, 0.000], [0.250, 0.750, 0.500], [0.750, 0.250, 0.500], [0.323, 0.323, 0.647], [0.677, 0.677, 0.353]]
}

---

Record 9
{
  "formula": "Rb2LiTa",
  "functional": "PBEsol",
  "state": "relaxed",
  "total_magnetization_mub_per_cell": 4.496,
  "crystal_system": "cubic",
  "e_form_mev_per_atom": 1612,
  "lattice": [[6.134, 0.000, 0.000], [3.067, 5.312, 0.000], [3.067, 1.771, 5.008]],
  "species": ["Li", "Rb", "Rb", "Ta"],
  "frac_coords": [[0.000, 0.000, 0.000], [0.250, 0.250, 0.250], [0.750, 0.750, 0.750], [0.500, 0.500, 0.500]]
}

---

Record 10
{
  "formula": "TaAl2Zn",
  "functional": "PBEsol",
  "state": "relaxed",
  "total_magnetization_mub_per_cell": 0.000,
  "crystal_system": "tetragonal",
  "e_form_mev_per_atom": -54,
  "lattice": [[-0.922, -2.199, -1.446], [2.507, -0.267, -1.191], [2.338, -4.945, 6.031]],
  "species": ["Zn", "Al", "Al", "Ta"],
  "frac_coords": [[0.500, 0.500, 0.500], [0.000, 0.000, 0.746], [0.000, 0.000, 0.254], [0.500, 0.500, 0.000]]
}

---

Record 11
{
  "formula": "ScIrCl2",
  "functional": "PBEsol",
  "state": "relaxed",
  "total_magnetization_mub_per_cell": 0.000,
  "crystal_system": "tetragonal",
  "formation_energy_uncorrected_ev_per_atom": -0.52,
  "lattice": [[-4.028, 0.430, 1.250], [-1.083, -3.374, -2.327], [3.968, -3.241, 6.714]],
  "species": ["Sc", "Sc", "Ir", "Ir", "Cl", "Cl", "Cl", "Cl"],
  "frac_coords": [[0.750, 0.250, 0.500], [0.500, 0.500, 0.000], [0.250, 0.750, 0.500], [0.000, 0.000, 0.000], [0.365, 0.875, 0.250], [0.885, 0.375, 0.250], [0.125, 0.115, 0.750], [0.625, 0.635, 0.750]]
}

---

Record 12
{
  "formula": "CdAu2Se",
  "functional": "PBEsol",
  "state": "relaxed",
  "total_magnetization_mub_per_cell": 0.000,
  "crystal_system": "trigonal",
  "formation_energy_uncorrected_ev_per_atom": 0.03,
  "lattice": [[3.919, 0.000, 0.000], [1.959, 3.394, 0.000], [1.959, 1.131, 6.230]],
  "species": ["Au", "Au", "Cd", "Se"],
  "frac_coords": [[0.000, 0.000, 0.000], [0.746, 0.746, 0.762], [0.498, 0.498, 0.506], [0.256, 0.256, 0.233]]
}